Record 1
## HoZn10Ag2 (PBE)

Data for HoZn10Ag2 after structural relaxation.

abc: 8.9124 6.9483 6.7737
angles: 81.00 50.36 48.65
Sites, in units of the cell vectors:
Ho (0.0000, 0.0000, 0.0000)
Zn (0.0000, 0.0000, 0.5000)
Zn (0.0069, 0.6461, 0.3539)
Zn (0.2877, 0.5045, 0.4955)
Zn (0.3539, 0.9931, 0.0069)
Zn (0.4955, 0.7123, 0.2877)
Zn (0.5000, 0.5000, 0.0000)
Zn (0.5045, 0.2877, 0.7123)
Zn (0.6461, 0.0069, 0.9931)
Zn (0.7123, 0.4955, 0.5045)
Zn (0.9931, 0.3539, 0.6461)
Ag (0.0000, 0.5000, 0.0000)
Ag (0.5000, 0.0000, 0.5000)

Computed properties:
Fermi-level density of states: 0.327 states/eV/atom
formation energy from the elements: -1.69 eV/f.u.
theoretical density: 7.97 g/cm³
final energy: -0.0699 hartree per atom
SG: No. 69

=====

Record 2
## Na2AsBr6 (PBE)

Data for Na2AsBr6 after structural relaxation.

abc: 6.7829 6.7829 12.7130
angles: 90.00 90.00 90.00
Sites, in units of the cell vectors:
Na (0.0000, 0.0000, 0.1661)
Na (0.0000, 0.0000, 0.8339)
Na (0.5000, 0.5000, 0.3339)
Na (0.5000, 0.5000, 0.6661)
As (0.0000, 0.0000, 0.5000)
As (0.5000, 0.5000, 0.0000)
Br (0.1864, 0.1864, 0.3513)
Br (0.1864, 0.1864, 0.6487)
Br (0.2277, 0.2277, 0.0000)
Br (0.2723, 0.7277, 0.5000)
Br (0.3136, 0.6864, 0.1487)
Br (0.3136, 0.6864, 0.8513)
Br (0.6864, 0.3136, 0.1487)
Br (0.6864, 0.3136, 0.8513)
Br (0.7277, 0.2723, 0.5000)
Br (0.7723, 0.7723, 0.0000)
Br (0.8136, 0.8136, 0.3513)
Br (0.8136, 0.8136, 0.6487)

Computed properties:
Fermi-level density of states: 1.250 states/eV/atom
formation energy without anion corrections: -665 kJ/mol of formula units
theoretical density: 3.41 g/cm³
final energy: -0.0989 hartree per atom
SG: No. 136

=====

Record 3
## La2Tb3Sm7 (PBE)

Data for La2Tb3Sm7 after structural relaxation.

abc: 19.5509 19.5509 3.6575
angles: 90.00 90.00 162.86
Sites, in units of the cell vectors:
La (0.1482, 0.8518, 0.0000)
La (0.8518, 0.1482, 0.0000)
Tb (0.3136, 0.6864, 0.5000)
Tb (0.5000, 0.5000, 0.5000)
Tb (0.6864, 0.3136, 0.5000)
Sm (0.0000, 0.0000, 0.0000)
Sm (0.0711, 0.9289, 0.5000)
Sm (0.2311, 0.7689, 0.0000)
Sm (0.4108, 0.5892, 0.0000)
Sm (0.5892, 0.4108, 0.0000)
Sm (0.7689, 0.2311, 0.0000)
Sm (0.9289, 0.0711, 0.5000)

Computed properties:
Fermi-level density of states: 1.575 states/eV/atom
formation energy from the elements: 1.38 eV/f.u.
excess energy over the best structure of this formula in the dataset: 44 meV/atom
theoretical density: 7.28 g/cm³
final energy: -0.1697 hartree per atom
SG: No. 65

=====

Record 4
## SmHoScCd (PBE)

Data for SmHoScCd after structural relaxation.

abc: 7.5896 7.5896 7.5896
angles: 90.00 90.00 90.00
Sites, in units of the cell vectors:
Sm (0.0000, 0.0000, 0.0000)
Sm (0.0000, 0.5000, 0.5000)
Sm (0.5000, 0.0000, 0.5000)
Sm (0.5000, 0.5000, 0.0000)
Ho (0.0000, 0.0000, 0.5000)
Ho (0.0000, 0.5000, 0.0000)
Ho (0.5000, 0.0000, 0.0000)
Ho (0.5000, 0.5000, 0.5000)
Sc (0.2500, 0.2500, 0.2500)
Sc (0.2500, 0.7500, 0.7500)
Sc (0.7500, 0.2500, 0.7500)
Sc (0.7500, 0.7500, 0.2500)
Cd (0.2500, 0.2500, 0.7500)
Cd (0.2500, 0.7500, 0.2500)
Cd (0.7500, 0.2500, 0.2500)
Cd (0.7500, 0.7500, 0.7500)

Computed properties:
Fermi-level density of states: 1.289 states/eV/atom
formation energy from the elements: -0.19 eV/f.u.
excess energy over the best structure of this formula in the dataset: 72 meV/atom
theoretical density: 7.18 g/cm³
final energy: -0.1537 hartree per atom
SG: No. 216

=====

Record 5
## TaAsSBr2 (PBE)

Data for TaAsSBr2 after structural relaxation.

abc: 4.9406 4.9406 5.2809
angles: 90.00 90.00 90.00
Sites, in units of the cell vectors:
Ta (0.0000, 0.0000, 0.0000)
As (0.0000, 0.0000, 0.5000)
S (0.5000, 0.5000, 0.5000)
Br (0.0000, 0.5000, 0.0000)
Br (0.5000, 0.0000, 0.0000)

Computed properties:
Fermi-level density of states: 1.167 states/eV/atom
excess energy over the best structure of this formula in the dataset: 0 meV/atom
formation energy without anion corrections: 189 kJ/mol of formula units
theoretical density: 5.77 g/cm³
final energy: -0.1618 hartree per atom
SG: No. 123

=====

Record 6
## Pm2ZnGe3 (PBE)

Data for Pm2ZnGe3 after structural relaxation.

abc: 4.1281 4.3278 7.3364
angles: 90.00 90.00 90.00
Sites, in units of the cell vectors:
Pm (0.0000, 0.0000, 0.0000)
Pm (0.0000, 0.5000, 0.4875)
Zn (0.5000, 0.5000, 0.8215)
Ge (0.5000, 0.0000, 0.3298)
Ge (0.5000, 0.0000, 0.6695)
Ge (0.5000, 0.5000, 0.1539)

Computed properties:
Fermi-level density of states: 0.252 states/eV/atom
formation energy from the elements: -3.85 eV/f.u.
excess energy over the best structure of this formula in the dataset: 0 meV/atom
theoretical density: 7.26 g/cm³
final energy: -0.1744 hartree per atom
SG: No. 25

=====

What did the first record say?
## HoZn10Ag2 (PBE)

Data for HoZn10Ag2 after structural relaxation.

abc: 8.9124 6.9483 6.7737
angles: 81.00 50.36 48.65
Sites, in units of the cell vectors:
Ho (0.0000, 0.0000, 0.0000)
Zn (0.0000, 0.0000, 0.5000)
Zn (0.0069, 0.6461, 0.3539)
Zn (0.2877, 0.5045, 0.4955)
Zn (0.3539, 0.9931, 0.0069)
Zn (0.4955, 0.7123, 0.2877)
Zn (0.5000, 0.5000, 0.0000)
Zn (0.5045, 0.2877, 0.7123)
Zn (0.6461, 0.0069, 0.9931)
Zn (0.7123, 0.4955, 0.5045)
Zn (0.9931, 0.3539, 0.6461)
Ag (0.0000, 0.5000, 0.0000)
Ag (0.5000, 0.0000, 0.5000)

Computed properties:
Fermi-level density of states: 0.327 states/eV/atom
formation energy from the elements: -1.69 eV/f.u.
theoretical density: 7.97 g/cm³
final energy: -0.0699 hartree per atom
SG: No. 69